VASP calculation (PBE) on a relaxed MoOsRu2 crystal.

M_tot = 0.00 μB/atom
energy of formation from the pure elements = 0.0675 eV/atom

POSCAR file:
```
MoOsRu2
1.0
4.5475 -1.3707 0.0000
4.5475 1.3707 0.0000
-0.8232 0.0000 4.6601
Mo Os Ru
1 1 2
Cartesian
0.0000 0.0000 0.0000
4.1359 0.0000 2.3300
1.6375 0.0000 3.4613
6.6344 0.0000 1.1988
```

---

VASP calculation (PBE) on a relaxed MoOs2Ru crystal.

M_tot = 0.00 μB/atom
energy of formation from the pure elements = 0.0804 eV/atom

POSCAR file:
```
MoOs2Ru
1.0
4.5532 -1.3702 0.0000
4.5532 1.3702 0.0000
-0.8149 0.0000 4.6840
Mo Os Ru
1 2 1
Cartesian
0.0000 0.0000 0.0000
1.6572 0.0000 3.4738
6.6342 0.0000 1.2102
4.1457 0.0000 2.3420
```

---

VASP calculation (PBE) on a relaxed MoOsRu2 crystal.

M_tot = 0.00 μB/atom
energy of formation from the pure elements = 0.0769 eV/atom

POSCAR file:
```
MoOsRu2
1.0
2.7377 0.0000 0.0000
0.0000 3.8448 0.0000
0.0000 0.0000 5.5279
Mo Os Ru
1 1 2
Cartesian
0.0000 0.0000 0.0000
1.3688 1.9224 1.4609
0.0000 0.0000 2.7293
1.3688 1.9224 4.1197
```

---

VASP calculation (PBE) on a relaxed Mo3Os4Ru2 crystal.

M_tot = 0.00 μB/atom
energy of formation from the pure elements = 0.2403 eV/atom

POSCAR file:
```
Mo3Os4Ru2
1.0
6.4847 -4.6119 0.0000
6.4847 4.6119 0.0000
-0.7791 0.0000 4.5573
Mo Os Ru
6 8 4
Cartesian
5.9004 3.1472 3.4180
3.6156 1.3955 4.1918
4.0051 -1.3955 1.9131
8.1852 1.3955 2.6442
8.5748 -1.3955 0.3655
6.2900 -3.1472 1.1393
2.7278 1.0333 1.6669
5.3191 1.0261 2.0464
2.3383 -1.0333 3.9456
7.2608 1.0261 0.2323
4.9296 -1.0261 4.3250
9.8521 1.0333 0.6117
6.8712 -1.0261 2.5109
9.4625 -1.0333 2.8904
0.7410 0.9225 3.6359
1.1306 -0.9225 1.3572
11.0598 0.9225 3.2000
11.4493 -0.9225 0.9214
```

---

VASP calculation (PBE) on a relaxed MoOs2Ru crystal.

M_tot = 0.19 μB/atom
energy of formation from the pure elements = 0.4674 eV/atom

POSCAR file:
```
MoOs2Ru
1.0
3.2668 0.0000 0.0000
0.0000 3.2668 0.0000
0.0000 0.0000 5.6119
Mo Os Ru
1 2 1
Cartesian
0.0000 0.0000 0.0000
0.0000 0.0000 2.8260
1.6334 1.6334 1.4684
1.6334 1.6334 4.1846
```

---

VASP calculation (PBE) on a relaxed MoOs2Ru2 crystal.

M_tot = 0.00 μB/atom
energy of formation from the pure elements = 0.7376 eV/atom

POSCAR file:
```
MoOs2Ru2
1.0
0.0000 4.6182 8.4503
2.1632 0.0000 8.4503
2.1632 4.6182 0.0000
Mo Os Ru
2 4 4
Cartesian
0.5408 1.1545 2.1126
3.7856 8.0818 14.7880
1.6224 1.7336 6.3377
2.7040 4.0427 10.5629
1.6224 5.1937 6.3377
2.7040 7.5028 10.5629
1.6224 3.4636 4.4966
1.6224 3.4636 8.1788
2.7040 5.7727 8.7218
2.7040 5.7727 12.4040
```